Entry 1:
Here is an optimized crystal structure of MnHg2H from Alexandria. Energies are from PBE.

Results
- Energy above the most stable polymorph in this dataset: 0.00 eV per formula unit
- Crystal system: tetragonal
- DFT total energy: -2.7381 eV per atom
- ρ: 11.05 g/cm³

Cell and atoms, written as CIF:
```
data_MnHg2H
_space_group_name_H-M_alt 'P 1'
_space_group_IT_number 1
_cell_length_a 5.648
_cell_length_b 5.648
_cell_length_c 5.648
_cell_angle_alpha 106.35
_cell_angle_beta 106.35
_cell_angle_gamma 115.92
loop_
_space_group_symop_operation_xyz
'x,y,z'
loop_
_atom_site_label
_atom_site_type_symbol
_atom_site_fract_x
_atom_site_fract_y
_atom_site_fract_z
Mn1 Mn 0.000 0.000 0.000
Mn2 Mn 0.750 0.250 0.500
Hg1 Hg 0.193 0.625 0.068
Hg2 Hg 0.375 0.443 0.568
Hg3 Hg 0.557 0.125 0.932
Hg4 Hg 0.875 0.807 0.432
H1 H 0.250 0.750 0.500
H2 H 0.500 0.500 0.000
```


Entry 2:
Here is an optimized crystal structure of MnHgH3 from Alexandria. Energies are from PBE.

Results
- Energy above the most stable polymorph in this dataset: 2.49 eV per formula unit
- Crystal system: cubic
- DFT total energy: -3.0241 eV per atom
- ρ: 7.25 g/cm³

Cell and atoms, written as CIF:
```
data_MnHgH3
_space_group_name_H-M_alt 'P 1'
_space_group_IT_number 1
_cell_length_a 3.898
_cell_length_b 3.898
_cell_length_c 3.898
_cell_angle_alpha 90.00
_cell_angle_beta 90.00
_cell_angle_gamma 90.00
loop_
_space_group_symop_operation_xyz
'x,y,z'
loop_
_atom_site_label
_atom_site_type_symbol
_atom_site_fract_x
_atom_site_fract_y
_atom_site_fract_z
Mn1 Mn 0.000 0.000 0.000
Hg1 Hg 0.500 0.500 0.500
H1 H 0.000 0.500 0.500
H2 H 0.500 0.000 0.500
H3 H 0.500 0.500 0.000
```